No. 1
# SmY6Ho4 (PBE-GGA, optimized geometry)
data_SmY6Ho4
_chemical_formula_sum 'Sm1 Y6 Ho4'
_symmetry_space_group_name_H-M 'P 1'
_symmetry_Int_Tables_number 1
_cell_length_a 8.515
_cell_length_b 8.515
_cell_length_c 8.515
_cell_angle_alpha 127.23
_cell_angle_beta 127.23
_cell_angle_gamma 77.87
loop_
_symmetry_equiv_pos_as_xyz
'x,y,z'
loop_
_atom_site_label
_atom_site_fract_x
_atom_site_fract_y
_atom_site_fract_z
Sm1 0.000 0.000 0.000
Y1 0.000 0.500 0.500
Y2 0.052 0.574 0.000
Y3 0.426 0.426 0.478
Y4 0.500 0.000 0.500
Y5 0.574 0.052 0.000
Y6 0.948 0.948 0.522
Ho1 0.259 0.259 0.674
Ho2 0.415 0.741 0.000
Ho3 0.585 0.585 0.326
Ho4 0.741 0.415 0.000
# ΔH_f (0 K) = 0.428 eV per atom
# Space-group type = I-42m, No. 121
# Density of states at the Fermi level = 14.84 states/eV/cell
# E above lowest polymorph = 0.3080 eV/atom

---

No. 2
# Sm3Y7Ho2 (PBE-GGA, optimized geometry)
data_Sm3Y7Ho2
_chemical_formula_sum 'Sm3 Y7 Ho2'
_symmetry_space_group_name_H-M 'P 1'
_symmetry_Int_Tables_number 1
_cell_length_a 6.369
_cell_length_b 3.533
_cell_length_c 17.577
_cell_angle_alpha 90.00
_cell_angle_beta 96.06
_cell_angle_gamma 90.00
loop_
_symmetry_equiv_pos_as_xyz
'x,y,z'
loop_
_atom_site_label
_atom_site_fract_x
_atom_site_fract_y
_atom_site_fract_z
Sm1 0.000 0.000 0.000
Sm2 0.048 0.500 0.659
Sm3 0.952 0.500 0.341
Y1 0.227 0.500 0.166
Y2 0.247 0.000 0.501
Y3 0.276 0.000 0.833
Y4 0.500 0.500 0.000
Y5 0.724 0.000 0.167
Y6 0.753 0.000 0.499
Y7 0.773 0.500 0.834
Ho1 0.443 0.000 0.327
Ho2 0.557 0.000 0.673
# ΔH_f (0 K) = 0.084 eV per atom
# Space-group type = P2/m, No. 10
# Density of states at the Fermi level = 18.60 states/eV/cell
# E above lowest polymorph = 0.0000 eV/atom

---

No. 3
# Sm8YHo2 (PBE-GGA, optimized geometry)
data_Sm8YHo2
_chemical_formula_sum 'Sm8 Y1 Ho2'
_symmetry_space_group_name_H-M 'P 1'
_symmetry_Int_Tables_number 1
_cell_length_a 9.024
_cell_length_b 9.024
_cell_length_c 6.683
_cell_angle_alpha 99.27
_cell_angle_beta 99.27
_cell_angle_gamma 43.91
loop_
_symmetry_equiv_pos_as_xyz
'x,y,z'
loop_
_atom_site_label
_atom_site_fract_x
_atom_site_fract_y
_atom_site_fract_z
Sm1 0.092 0.092 0.911
Sm2 0.149 0.674 0.593
Sm3 0.256 0.256 0.684
Sm4 0.326 0.851 0.407
Sm5 0.674 0.149 0.593
Sm6 0.744 0.744 0.316
Sm7 0.851 0.326 0.407
Sm8 0.908 0.908 0.089
Y1 0.500 0.500 0.000
Ho1 0.300 0.300 0.195
Ho2 0.700 0.700 0.805
# ΔH_f (0 K) = 0.169 eV per atom
# Space-group type = C2/m, No. 12
# Density of states at the Fermi level = 17.95 states/eV/cell
# E above lowest polymorph = 0.0456 eV/atom

---

No. 4
# Sm9Y3Ho2 (PBE-GGA, optimized geometry)
data_Sm9Y3Ho2
_chemical_formula_sum 'Sm9 Y3 Ho2'
_symmetry_space_group_name_H-M 'P 1'
_symmetry_Int_Tables_number 1
_cell_length_a 10.085
_cell_length_b 10.085
_cell_length_c 5.621
_cell_angle_alpha 106.12
_cell_angle_beta 106.12
_cell_angle_gamma 62.79
loop_
_symmetry_equiv_pos_as_xyz
'x,y,z'
loop_
_atom_site_label
_atom_site_fract_x
_atom_site_fract_y
_atom_site_fract_z
Sm1 0.000 0.000 0.000
Sm2 0.013 0.348 0.183
Sm3 0.055 0.717 0.387
Sm4 0.121 0.452 0.789
Sm5 0.315 0.649 0.985
Sm6 0.348 0.013 0.183
Sm7 0.452 0.121 0.789
Sm8 0.649 0.315 0.985
Sm9 0.717 0.055 0.387
Y1 0.389 0.389 0.392
Y2 0.676 0.676 0.178
Y3 0.793 0.793 0.795
Ho1 0.427 0.766 0.599
Ho2 0.766 0.427 0.599
# ΔH_f (0 K) = 0.170 eV per atom
# Space-group type = Cm, No. 8
# Density of states at the Fermi level = 22.36 states/eV/cell

---

No. 5
# Sm4Y4Ho (PBE-GGA, optimized geometry)
data_Sm4Y4Ho
_chemical_formula_sum 'Sm4 Y4 Ho1'
_symmetry_space_group_name_H-M 'P 1'
_symmetry_Int_Tables_number 1
_cell_length_a 6.216
_cell_length_b 6.216
_cell_length_c 10.777
_cell_angle_alpha 106.79
_cell_angle_beta 106.79
_cell_angle_gamma 48.28
loop_
_symmetry_equiv_pos_as_xyz
'x,y,z'
loop_
_atom_site_label
_atom_site_fract_x
_atom_site_fract_y
_atom_site_fract_z
Sm1 0.001 0.001 0.168
Sm2 0.333 0.333 0.611
Sm3 0.667 0.667 0.389
Sm4 0.999 0.999 0.832
Y1 0.334 0.334 0.278
Y2 0.334 0.334 0.945
Y3 0.666 0.666 0.055
Y4 0.666 0.666 0.722
Ho1 0.000 0.000 0.500
# ΔH_f (0 K) = 0.017 eV per atom
# Space-group type = C2/m, No. 12
# Density of states at the Fermi level = 12.60 states/eV/cell
# E above lowest polymorph = 0.0000 eV/atom

---

No. 6
# Sm3Y3Ho4 (PBE-GGA, optimized geometry)
data_Sm3Y3Ho4
_chemical_formula_sum 'Sm3 Y3 Ho4'
_symmetry_space_group_name_H-M 'P 1'
_symmetry_Int_Tables_number 1
_cell_length_a 3.689
_cell_length_b 9.409
_cell_length_c 9.409
_cell_angle_alpha 89.81
_cell_angle_beta 90.00
_cell_angle_gamma 90.00
loop_
_symmetry_equiv_pos_as_xyz
'x,y,z'
loop_
_atom_site_label
_atom_site_fract_x
_atom_site_fract_y
_atom_site_fract_z
Sm1 0.000 0.000 0.000
Sm2 0.000 0.500 0.846
Sm3 0.000 0.846 0.500
Y1 0.000 0.346 0.346
Y2 0.500 0.174 0.669
Y3 0.500 0.669 0.174
Ho1 0.500 0.048 0.299
Ho2 0.500 0.299 0.048
Ho3 0.500 0.547 0.547
Ho4 0.500 0.799 0.799
# ΔH_f (0 K) = 0.081 eV per atom
# Space-group type = Amm2, No. 38
# Density of states at the Fermi level = 7.98 states/eV/cell

---

No. 7
# SmYHo2 (PBE-GGA, optimized geometry)
data_SmYHo2
_chemical_formula_sum 'Sm1 Y1 Ho2'
_symmetry_space_group_name_H-M 'P 1'
_symmetry_Int_Tables_number 1
_cell_length_a 11.788
_cell_length_b 11.788
_cell_length_c 11.788
_cell_angle_alpha 17.39
_cell_angle_beta 17.39
_cell_angle_gamma 17.39
loop_
_symmetry_equiv_pos_as_xyz
'x,y,z'
loop_
_atom_site_label
_atom_site_fract_x
_atom_site_fract_y
_atom_site_fract_z
Sm1 0.000 0.000 0.000
Y1 0.500 0.500 0.500
Ho1 0.250 0.250 0.250
Ho2 0.750 0.750 0.750
# ΔH_f (0 K) = 0.021 eV per atom
# Space-group type = R-3m, No. 166
# Density of states at the Fermi level = 5.81 states/eV/cell
# E above lowest polymorph = 0.0093 eV/atom

---

No. 8
# SmY2Ho (PBE-GGA, optimized geometry)
data_SmY2Ho
_chemical_formula_sum 'Sm1 Y2 Ho1'
_symmetry_space_group_name_H-M 'P 1'
_symmetry_Int_Tables_number 1
_cell_length_a 5.701
_cell_length_b 5.701
_cell_length_c 5.701
_cell_angle_alpha 60.00
_cell_angle_beta 60.00
_cell_angle_gamma 60.00
loop_
_symmetry_equiv_pos_as_xyz
'x,y,z'
loop_
_atom_site_label
_atom_site_fract_x
_atom_site_fract_y
_atom_site_fract_z
Sm1 0.000 0.000 0.000
Y1 0.250 0.250 0.250
Y2 0.750 0.750 0.750
Ho1 0.500 0.500 0.500
# ΔH_f (0 K) = 0.131 eV per atom
# Space-group type = Fm-3m, No. 225
# Density of states at the Fermi level = 9.45 states/eV/cell
# E above lowest polymorph = 0.1209 eV/atom

---

No. 9
# Sm5Y5Ho (PBE-GGA, optimized geometry)
data_Sm5Y5Ho
_chemical_formula_sum 'Sm5 Y5 Ho1'
_symmetry_space_group_name_H-M 'P 1'
_symmetry_Int_Tables_number 1
_cell_length_a 9.960
_cell_length_b 9.960
_cell_length_c 6.989
_cell_angle_alpha 110.22
_cell_angle_beta 110.22
_cell_angle_gamma 35.18
loop_
_symmetry_equiv_pos_as_xyz
'x,y,z'
loop_
_atom_site_label
_atom_site_fract_x
_atom_site_fract_y
_atom_site_fract_z
Sm1 0.000 0.000 0.000
Sm2 0.330 0.330 0.328
Sm3 0.376 0.376 0.874
Sm4 0.624 0.624 0.126
Sm5 0.670 0.670 0.672
Y1 0.177 0.177 0.430
Y2 0.177 0.177 0.923
Y3 0.500 0.500 0.500
Y4 0.823 0.823 0.077
Y5 0.823 0.823 0.570
Ho1 0.000 0.000 0.500
# ΔH_f (0 K) = 0.269 eV per atom
# Space-group type = C2/m, No. 12
# Density of states at the Fermi level = 19.30 states/eV/cell
# E above lowest polymorph = 0.0000 eV/atom

---

No. 10
# Sm5Y3Ho3 (PBE-GGA, optimized geometry)
data_Sm5Y3Ho3
_chemical_formula_sum 'Sm5 Y3 Ho3'
_symmetry_space_group_name_H-M 'P 1'
_symmetry_Int_Tables_number 1
_cell_length_a 9.711
_cell_length_b 9.711
_cell_length_c 5.609
_cell_angle_alpha 90.00
_cell_angle_beta 90.00
_cell_angle_gamma 120.00
loop_
_symmetry_equiv_pos_as_xyz
'x,y,z'
loop_
_atom_site_label
_atom_site_fract_x
_atom_site_fract_y
_atom_site_fract_z
Sm1 0.000 0.725 0.000
Sm2 0.275 0.275 0.000
Sm3 0.333 0.667 0.000
Sm4 0.667 0.333 0.000
Sm5 0.725 0.000 0.000
Y1 0.000 0.537 0.500
Y2 0.463 0.463 0.500
Y3 0.537 0.000 0.500
Ho1 0.000 0.364 0.000
Ho2 0.364 0.000 0.000
Ho3 0.636 0.636 0.000
# ΔH_f (0 K) = 0.797 eV per atom
# Space-group type = P-62m, No. 189
# Density of states at the Fermi level = 19.26 states/eV/cell
# E above lowest polymorph = 0.4569 eV/atom

---

No. 11
# Sm7Y2Ho2 (PBE-GGA, optimized geometry)
data_Sm7Y2Ho2
_chemical_formula_sum 'Sm7 Y2 Ho2'
_symmetry_space_group_name_H-M 'P 1'
_symmetry_Int_Tables_number 1
_cell_length_a 6.964
_cell_length_b 6.964
_cell_length_c 8.164
_cell_angle_alpha 98.91
_cell_angle_beta 98.91
_cell_angle_gamma 104.80
loop_
_symmetry_equiv_pos_as_xyz
'x,y,z'
loop_
_atom_site_label
_atom_site_fract_x
_atom_site_fract_y
_atom_site_fract_z
Sm1 0.000 0.000 0.000
Sm2 0.096 0.515 0.832
Sm3 0.421 0.421 0.183
Sm4 0.485 0.904 0.168
Sm5 0.515 0.096 0.832
Sm6 0.579 0.579 0.817
Sm7 0.904 0.485 0.168
Y1 0.198 0.198 0.482
Y2 0.802 0.802 0.518
Ho1 0.284 0.716 0.500
Ho2 0.716 0.284 0.500
# ΔH_f (0 K) = 0.143 eV per atom
# Space-group type = C2/m, No. 12
# Density of states at the Fermi level = 16.54 states/eV/cell
# E above lowest polymorph = 0.0000 eV/atom

---

No. 12
# SmY4Ho4 (PBE-GGA, optimized geometry)
data_SmY4Ho4
_chemical_formula_sum 'Sm1 Y4 Ho4'
_symmetry_space_group_name_H-M 'P 1'
_symmetry_Int_Tables_number 1
_cell_length_a 7.956
_cell_length_b 7.956
_cell_length_c 7.956
_cell_angle_alpha 95.72
_cell_angle_beta 95.72
_cell_angle_gamma 143.19
loop_
_symmetry_equiv_pos_as_xyz
'x,y,z'
loop_
_atom_site_label
_atom_site_fract_x
_atom_site_fract_y
_atom_site_fract_z
Sm1 0.000 0.000 0.000
Y1 0.333 0.333 0.666
Y2 0.333 0.667 0.000
Y3 0.667 0.333 0.000
Y4 0.667 0.667 0.334
Ho1 0.000 0.335 0.335
Ho2 0.000 0.665 0.665
Ho3 0.335 0.000 0.335
Ho4 0.665 0.000 0.665
# ΔH_f (0 K) = 0.023 eV per atom
# Space-group type = I4/mmm, No. 139
# Density of states at the Fermi level = 13.16 states/eV/cell